Entry 1:
DFT (PBE-GGA) results for TaMnFe2 after structural relaxation.

The structure in CIF format:
```
data_TaMnFe2
_symmetry_space_group_name_H-M 'P 1'
_symmetry_Int_Tables_number 1
_symmetry_space_group_name_Hall 'P 1'
_cell_length_a 4.566
_cell_length_b 4.560
_cell_length_c 10.612
_cell_angle_alpha 90.00
_cell_angle_beta 90.00
_cell_angle_gamma 90.00
loop_
_atom_site_label
_atom_site_type_symbol
_atom_site_fract_x
_atom_site_fract_y
_atom_site_fract_z
_atom_site_occupancy
Ta1 Ta 0.000 0.250 0.704 1
Ta2 Ta 0.500 0.750 0.093 1
Ta3 Ta 0.000 0.750 0.296 1
Ta4 Ta 0.500 0.250 0.907 1
Mn1 Mn 0.500 0.750 0.675 1
Mn2 Mn 0.500 0.250 0.325 1
Mn3 Mn 0.000 0.250 0.434 1
Mn4 Mn 0.000 0.750 0.566 1
Fe1 Fe 0.000 0.000 0.000 1
Fe2 Fe 0.500 0.500 0.500 1
Fe3 Fe 0.238 0.750 0.838 1
Fe4 Fe 0.762 0.250 0.162 1
Fe5 Fe 0.762 0.750 0.838 1
Fe6 Fe 0.238 0.250 0.162 1
Fe7 Fe 0.000 0.500 0.000 1
Fe8 Fe 0.500 0.000 0.500 1
```

## Properties
Its theoretical density is 10448 kg/m3. The formation energy from the elements is 0.353 eV/atom.

---

Entry 2:
DFT (PBE-GGA) results for Ta3MnFe after structural relaxation.

The structure in CIF format:
```
data_Ta3MnFe
_symmetry_space_group_name_H-M 'P 1'
_symmetry_Int_Tables_number 1
_symmetry_space_group_name_Hall 'P 1'
_cell_length_a 4.515
_cell_length_b 4.515
_cell_length_c 4.515
_cell_angle_alpha 90.00
_cell_angle_beta 90.00
_cell_angle_gamma 90.00
loop_
_atom_site_label
_atom_site_type_symbol
_atom_site_fract_x
_atom_site_fract_y
_atom_site_fract_z
_atom_site_occupancy
Mn1 Mn 0.500 0.500 0.500 1
Fe1 Fe 0.000 0.000 0.000 1
Ta1 Ta 0.000 0.500 0.000 1
Ta2 Ta 0.000 0.000 0.500 1
Ta3 Ta 0.500 0.000 0.000 1
```

## Properties
Its theoretical density is 11792 kg/m3. The formation energy from the elements is 1.112 eV/atom.

---

Entry 3:
DFT (PBE-GGA) results for TaMn2Fe2 after structural relaxation.

The structure in CIF format:
```
data_TaMn2Fe2
_symmetry_space_group_name_H-M 'P 1'
_symmetry_Int_Tables_number 1
_symmetry_space_group_name_Hall 'P 1'
_cell_length_a 6.852
_cell_length_b 6.852
_cell_length_c 2.572
_cell_angle_alpha 90.00
_cell_angle_beta 90.00
_cell_angle_gamma 90.00
loop_
_atom_site_label
_atom_site_type_symbol
_atom_site_fract_x
_atom_site_fract_y
_atom_site_fract_z
_atom_site_occupancy
Mn1 Mn 0.380 0.880 0.000 1
Mn2 Mn 0.880 0.620 0.000 1
Mn3 Mn 0.620 0.120 0.000 1
Mn4 Mn 0.120 0.380 0.000 1
Fe1 Fe 0.173 0.673 0.500 1
Fe2 Fe 0.673 0.827 0.500 1
Fe3 Fe 0.827 0.327 0.500 1
Fe4 Fe 0.327 0.173 0.500 1
Ta1 Ta 0.000 0.000 0.000 1
Ta2 Ta 0.500 0.500 0.000 1
```

## Properties
Its theoretical density is 11071 kg/m3. The formation energy from the elements is 0.103 eV/atom.

---

Entry 4:
DFT (PBE-GGA) results for TaMnFe2 after structural relaxation.

The structure in CIF format:
```
data_TaMnFe2
_symmetry_space_group_name_H-M 'P 1'
_symmetry_Int_Tables_number 1
_symmetry_space_group_name_Hall 'P 1'
_cell_length_a 3.131
_cell_length_b 4.059
_cell_length_c 4.084
_cell_angle_alpha 90.00
_cell_angle_beta 90.00
_cell_angle_gamma 90.00
loop_
_atom_site_label
_atom_site_type_symbol
_atom_site_fract_x
_atom_site_fract_y
_atom_site_fract_z
_atom_site_occupancy
Fe1 Fe 0.000 0.000 0.000 1
Fe2 Fe 0.500 0.500 0.000 1
Mn1 Mn 0.500 0.000 0.500 1
Ta1 Ta 0.000 0.500 0.500 1
```

## Properties
Its theoretical density is 11121 kg/m3. The formation energy from the elements is -0.043 eV/atom.

---

Entry 5:
DFT (PBE-GGA) results for TaMnFe2 after structural relaxation.

The structure in CIF format:
```
data_TaMnFe2
_symmetry_space_group_name_H-M 'P 1'
_symmetry_Int_Tables_number 1
_symmetry_space_group_name_Hall 'P 1'
_cell_length_a 2.611
_cell_length_b 2.611
_cell_length_c 7.551
_cell_angle_alpha 90.00
_cell_angle_beta 90.00
_cell_angle_gamma 90.00
loop_
_atom_site_label
_atom_site_type_symbol
_atom_site_fract_x
_atom_site_fract_y
_atom_site_fract_z
_atom_site_occupancy
Fe1 Fe 0.000 0.000 0.030 1
Fe2 Fe 0.000 0.000 0.470 1
Mn1 Mn 0.500 0.500 0.250 1
Ta1 Ta 0.500 0.500 0.750 1
```

## Properties
Its theoretical density is 11212 kg/m3. The formation energy from the elements is 0.115 eV/atom.

---

Entry 6:
DFT (PBE-GGA) results for TaMn2Fe2 after structural relaxation.

The structure in CIF format:
```
data_TaMn2Fe2
_symmetry_space_group_name_H-M 'P 1'
_symmetry_Int_Tables_number 1
_symmetry_space_group_name_Hall 'P 1'
_cell_length_a 3.681
_cell_length_b 3.681
_cell_length_c 9.825
_cell_angle_alpha 100.80
_cell_angle_beta 100.80
_cell_angle_gamma 90.00
loop_
_atom_site_label
_atom_site_type_symbol
_atom_site_fract_x
_atom_site_fract_y
_atom_site_fract_z
_atom_site_occupancy
Ta1 Ta 0.626 0.626 0.252 1
Ta2 Ta 0.374 0.374 0.748 1
Mn1 Mn 0.000 0.500 0.000 1
Mn2 Mn 0.180 0.180 0.361 1
Mn3 Mn 0.500 0.000 0.000 1
Mn4 Mn 0.820 0.820 0.639 1
Fe1 Fe 0.750 0.250 0.500 1
Fe2 Fe 0.926 0.926 0.852 1
Fe3 Fe 0.074 0.074 0.148 1
Fe4 Fe 0.250 0.750 0.500 1
```

## Properties
Its theoretical density is 10414 kg/m3. The formation energy from the elements is 0.168 eV/atom.

---

Entry 7:
DFT (PBE-GGA) results for Ta4MnFe3 after structural relaxation.

The structure in CIF format:
```
data_Ta4MnFe3
_symmetry_space_group_name_H-M 'P 1'
_symmetry_Int_Tables_number 1
_symmetry_space_group_name_Hall 'P 1'
_cell_length_a 3.059
_cell_length_b 3.059
_cell_length_c 12.281
_cell_angle_alpha 90.00
_cell_angle_beta 90.00
_cell_angle_gamma 90.00
loop_
_atom_site_label
_atom_site_type_symbol
_atom_site_fract_x
_atom_site_fract_y
_atom_site_fract_z
_atom_site_occupancy
Mn1 Mn 0.500 0.500 0.000 1
Fe1 Fe 0.500 0.500 0.249 1
Fe2 Fe 0.500 0.500 0.500 1
Fe3 Fe 0.500 0.500 0.751 1
Ta1 Ta 0.000 0.000 0.876 1
Ta2 Ta 0.000 0.000 0.124 1
Ta3 Ta 0.000 0.000 0.375 1
Ta4 Ta 0.000 0.000 0.625 1
```

## Properties
Its theoretical density is 13669 kg/m3. The formation energy from the elements is -0.173 eV/atom.

---

Entry 8:
DFT (PBE-GGA) results for TaMnFe2 after structural relaxation.

The structure in CIF format:
```
data_TaMnFe2
_symmetry_space_group_name_H-M 'P 1'
_symmetry_Int_Tables_number 1
_symmetry_space_group_name_Hall 'P 1'
_cell_length_a 4.877
_cell_length_b 4.877
_cell_length_c 4.053
_cell_angle_alpha 65.46
_cell_angle_beta 65.46
_cell_angle_gamma 37.42
loop_
_atom_site_label
_atom_site_type_symbol
_atom_site_fract_x
_atom_site_fract_y
_atom_site_fract_z
_atom_site_occupancy
Fe1 Fe 0.007 0.007 0.993 1
Fe2 Fe 0.745 0.745 0.755 1
Mn1 Mn 0.494 0.494 0.506 1
Ta1 Ta 0.254 0.254 0.246 1
```

## Properties
Its theoretical density is 10964 kg/m3. The formation energy from the elements is -0.023 eV/atom.

---

Entry 9:
DFT (PBE-GGA) results for TaMn2Fe2 after structural relaxation.

The structure in CIF format:
```
data_TaMn2Fe2
_symmetry_space_group_name_H-M 'P 1'
_symmetry_Int_Tables_number 1
_symmetry_space_group_name_Hall 'P 1'
_cell_length_a 6.862
_cell_length_b 6.862
_cell_length_c 2.570
_cell_angle_alpha 90.00
_cell_angle_beta 90.00
_cell_angle_gamma 90.00
loop_
_atom_site_label
_atom_site_type_symbol
_atom_site_fract_x
_atom_site_fract_y
_atom_site_fract_z
_atom_site_occupancy
Mn1 Mn 0.170 0.670 0.500 1
Mn2 Mn 0.670 0.830 0.500 1
Mn3 Mn 0.830 0.330 0.500 1
Mn4 Mn 0.330 0.170 0.500 1
Fe1 Fe 0.377 0.877 0.000 1
Fe2 Fe 0.877 0.623 0.000 1
Fe3 Fe 0.623 0.123 0.000 1
Fe4 Fe 0.123 0.377 0.000 1
Ta1 Ta 0.000 0.000 0.000 1
Ta2 Ta 0.500 0.500 0.000 1
```

## Properties
Its theoretical density is 11047 kg/m3. The formation energy from the elements is 0.102 eV/atom.

---

Entry 10:
DFT (PBE-GGA) results for TaMnFe2 after structural relaxation.

The structure in CIF format:
```
data_TaMnFe2
_symmetry_space_group_name_H-M 'P 1'
_symmetry_Int_Tables_number 1
_symmetry_space_group_name_Hall 'P 1'
_cell_length_a 4.856
_cell_length_b 4.856
_cell_length_c 4.856
_cell_angle_alpha 142.85
_cell_angle_beta 130.33
_cell_angle_gamma 63.63
loop_
_atom_site_label
_atom_site_type_symbol
_atom_site_fract_x
_atom_site_fract_y
_atom_site_fract_z
_atom_site_occupancy
Fe1 Fe 0.007 0.007 0.000 1
Fe2 Fe 0.493 0.493 0.000 1
Mn1 Mn 0.250 0.750 0.500 1
Ta1 Ta 0.750 0.250 0.500 1
```

## Properties
Its theoretical density is 11086 kg/m3. The formation energy from the elements is -0.020 eV/atom.

---

Question: Which of these has the highest theoretical density?
Answer: Ta4MnFe3

---

Question: Which formula does entry 7 have?
Answer: Ta4MnFe3

---

Question: Among the records above, which one has the highest formation energy from the elements?
Answer: Ta3MnFe

---

Question: The highest formation energy from the elements belongs to which entry?
Answer: Ta3MnFe